Material: KAc2Pb3S6
Method: DFT, PBE-GGA
State: relaxed

a = 18.6311 Å, b = 4.5119 Å, c = 8.5103 Å
α = 90.00°, β = 101.79°, γ = 90.00°
Space group C2/m (No. 12)
Symmetry-distinct sites (fractional):
K 0.0000 0.0000 0.0000 [2 per cell]
Ac 0.1656 0.5000 0.3223 [4 per cell]
Pb 0.0000 0.0000 0.5000 [2 per cell]
Pb 0.1604 0.5000 0.8525 [4 per cell]
S 0.0062 0.5000 0.2666 [4 per cell]
S 0.1687 0.0000 0.5597 [4 per cell]
S 0.1756 0.0000 0.0822 [4 per cell]

Computed properties:
Crystal system: monoclinic
M_tot in μB per atom: 0.000
Calculated density in g/cm³: 6.20
D(E_F) in states/eV per cell: 3.961
E_tot in eV/cell: -118.934

=====

Material: Ir2RhBr
Method: DFT, PBE-GGA
State: relaxed

a = 2.8569 Å, b = 2.8569 Å, c = 7.8840 Å
α = 90.00°, β = 90.00°, γ = 90.00°
Space group P4/mmm (No. 123)
Symmetry-distinct sites (fractional):
Ir 0.0000 0.0000 0.2274 [2 per cell]
Rh 0.5000 0.5000 0.0000 [1 per cell]
Br 0.5000 0.5000 0.5000 [1 per cell]

Computed properties:
Crystal system: tetragonal
M_tot in μB per atom: 0.000
Calculated density in g/cm³: 14.64
D(E_F) in states/eV per cell: 6.280
Energy relative to the lowest polymorph listed for this composition in meV/atom: 298.5
E_tot in eV/cell: -23.701

=====

Material: BaZnI2O8
Method: DFT, PBE-GGA
State: relaxed

a = 5.4207 Å, b = 5.4207 Å, c = 22.1339 Å
α = 90.00°, β = 90.00°, γ = 120.00°
Space group R-3 (No. 148, hexagonal axes)
Symmetry-distinct sites (fractional):
Ba 0.0000 0.0000 0.0000 [3 per cell]
Zn 0.0000 0.0000 0.5000 [3 per cell]
I 0.0000 0.0000 0.2281 [6 per cell]
O 0.0000 0.0000 0.3103 [6 per cell]
O 0.0088 0.6520 0.2233 [18 per cell]

Computed properties:
Crystal system: trigonal
M_tot in μB per atom: 0.165
Calculated density in g/cm³: 5.17
D(E_F) in states/eV per cell: 16.163
E_tot in eV/cell: -166.905

=====

Material: Pa2NiP4Os3
Method: DFT, PBE-GGA
State: relaxed

a = 4.1519 Å, b = 4.1519 Å, c = 9.2894 Å
α = 90.00°, β = 90.00°, γ = 90.00°
Space group P-4m2 (No. 115)
Symmetry-distinct sites (fractional):
Pa 0.0000 0.5000 0.2458 [2 per cell]
Ni 0.0000 0.0000 0.5000 [1 per cell]
P 0.0000 0.0000 0.0000 [1 per cell]
P 0.0000 0.5000 0.6307 [2 per cell]
P 0.5000 0.5000 0.0000 [1 per cell]
Os 0.0000 0.5000 0.8808 [2 per cell]
Os 0.5000 0.5000 0.5000 [1 per cell]

Computed properties:
Crystal system: tetragonal
Energy of formation in eV/atom: -0.753
M_tot in μB per atom: 0.000
Calculated density in g/cm³: 12.60
D(E_F) in states/eV per cell: 4.696
E_tot in eV/cell: -87.629

=====

Material: NaTmBiPb
Method: DFT, PBE-GGA
State: relaxed

a = 7.7173 Å, b = 7.7173 Å, c = 7.7173 Å
α = 90.00°, β = 90.00°, γ = 90.00°
Space group F-43m (No. 216)
Symmetry-distinct sites (fractional):
Na 0.0000 0.0000 0.0000 [4 per cell]
Tm 0.0000 0.0000 0.5000 [4 per cell]
Bi 0.2500 0.2500 0.2500 [4 per cell]
Pb 0.2500 0.2500 0.7500 [4 per cell]

Computed properties:
Crystal system: cubic
Energy of formation in eV/atom: -0.272
M_tot in μB per atom: 0.000
Calculated density in g/cm³: 8.79
D(E_F) in states/eV per cell: 14.125
E_tot in eV/cell: -57.872

=====

Material: Pr6NdDyTm2
Method: DFT, PBE-GGA
State: relaxed

a = 9.3418 Å, b = 15.3467 Å, c = 9.7806 Å
α = 90.00°, β = 98.13°, γ = 90.00°
Space group C2/c (No. 15)
Symmetry-distinct sites (fractional):
Pr 0.0647 0.1740 0.4452 [8 per cell]
Pr 0.0969 0.3929 0.6194 [8 per cell]
Pr 0.2114 0.2240 0.8154 [8 per cell]
Nd 0.0000 0.4075 0.2500 [4 per cell]
Dy 0.0000 0.0300 0.7500 [4 per cell]
Tm 0.2434 0.0471 0.0476 [8 per cell]

Computed properties:
Crystal system: monoclinic
Energy of formation in eV/atom: 0.113
M_tot in μB per atom: 0.000
Calculated density in g/cm³: 7.13
D(E_F) in states/eV per cell: 60.225
E_tot in eV/cell: -183.449

=====

Material: BaSiSe
Method: DFT, PBE-GGA
State: relaxed

a = 4.6506 Å, b = 4.6708 Å, c = 8.9455 Å
α = 90.00°, β = 90.00°, γ = 90.00°
Space group Imm2 (No. 44)
Symmetry-distinct sites (fractional):
Ba 0.0000 0.0000 0.0000 [2 per cell]
Si 0.0000 0.0000 0.6406 [2 per cell]
Se 0.0000 0.0000 0.3863 [2 per cell]

Computed properties:
Crystal system: orthorhombic
M_tot in μB per atom: 0.000
Calculated density in g/cm³: 4.18
D(E_F) in states/eV per cell: 2.813
Energy relative to the lowest polymorph listed for this composition in meV/atom: 31.8
E_tot in eV/cell: -25.121

=====

Material: BaZrAg2
Method: DFT, PBE-GGA
State: relaxed

a = 5.0699 Å, b = 5.7279 Å, c = 7.5640 Å
α = 90.00°, β = 90.00°, γ = 90.00°
Space group Immm (No. 71)
Symmetry-distinct sites (fractional):
Ba 0.0000 0.0000 0.0000 [2 per cell]
Zr 0.0000 0.0000 0.5000 [2 per cell]
Ag 0.0000 0.5000 0.2147 [4 per cell]

Computed properties:
Crystal system: orthorhombic
Energy of formation in eV/atom: 0.297
M_tot in μB per atom: 0.203
Calculated density in g/cm³: 6.72
D(E_F) in states/eV per cell: 10.904
Energy relative to the lowest polymorph listed for this composition in meV/atom: 287.0
E_tot in eV/cell: -29.973